# VGe3O | Alexandria | GGA+U | relaxed
data_VGe3O
_chemical_formula_sum 'V1 Ge3 O1'
_symmetry_space_group_name_H-M 'P 1'
_symmetry_Int_Tables_number 1
_symmetry_space_group_name_Hall 'P 1'
_cell_length_a 4.363
_cell_length_b 4.363
_cell_length_c 4.363
_cell_angle_alpha 90.00
_cell_angle_beta 90.00
_cell_angle_gamma 90.00
loop_
_atom_site_label
_atom_site_type_symbol
_atom_site_fract_x
_atom_site_fract_y
_atom_site_fract_z
Ge1 Ge 0.000 0.500 0.000
Ge2 Ge 0.000 0.000 0.500
Ge3 Ge 0.500 0.000 0.000
O1 O 0.000 0.000 0.000
V1 V 0.500 0.500 0.500
# Excess energy over the best structure of this formula in the dataset (meV per atom): 0
# Total magnetization (μB/atom): 0.605
# Calculated total energy (eV/atom): -4.99

---

# V2GeO2 | Alexandria | GGA+U | relaxed
data_V2GeO2
_chemical_formula_sum 'V2 Ge1 O2'
_symmetry_space_group_name_H-M 'P 1'
_symmetry_Int_Tables_number 1
_symmetry_space_group_name_Hall 'P 1'
_cell_length_a 4.187
_cell_length_b 4.187
_cell_length_c 5.114
_cell_angle_alpha 65.83
_cell_angle_beta 65.83
_cell_angle_gamma 90.00
loop_
_atom_site_label
_atom_site_type_symbol
_atom_site_fract_x
_atom_site_fract_y
_atom_site_fract_z
Ge1 Ge 0.000 0.000 0.000
O1 O 0.269 0.269 0.463
O2 O 0.731 0.731 0.537
V1 V 0.750 0.250 0.500
V2 V 0.250 0.750 0.500
# Excess energy over the best structure of this formula in the dataset (meV per atom): 0
# Total magnetization (μB/atom): 0.905
# Calculated total energy (eV/atom): -6.61

---

# VGeO3 | Alexandria | GGA+U | relaxed
data_VGeO3
_chemical_formula_sum 'V4 Ge4 O12'
_symmetry_space_group_name_H-M 'P 1'
_symmetry_Int_Tables_number 1
_symmetry_space_group_name_Hall 'P 1'
_cell_length_a 5.660
_cell_length_b 7.073
_cell_length_c 7.073
_cell_angle_alpha 81.40
_cell_angle_beta 73.33
_cell_angle_gamma 73.33
loop_
_atom_site_label
_atom_site_type_symbol
_atom_site_fract_x
_atom_site_fract_y
_atom_site_fract_z
V1 V 0.750 0.269 0.731
V2 V 0.250 0.094 0.906
V3 V 0.750 0.906 0.094
V4 V 0.250 0.731 0.269
Ge1 Ge 0.701 0.380 0.198
Ge2 Ge 0.201 0.198 0.380
Ge3 Ge 0.799 0.802 0.620
Ge4 Ge 0.299 0.620 0.802
O1 O 0.363 0.393 0.310
O2 O 0.666 0.980 0.797
O3 O 0.863 0.310 0.393
O4 O 0.137 0.690 0.607
O5 O 0.847 0.873 0.369
O6 O 0.166 0.797 0.980
O7 O 0.637 0.607 0.690
O8 O 0.834 0.203 0.020
O9 O 0.334 0.020 0.203
O10 O 0.347 0.369 0.873
O11 O 0.153 0.127 0.631
O12 O 0.653 0.631 0.127
# Total magnetization (μB/atom): 0.600
# Calculated total energy (eV/atom): -7.06

---

# V2GeO4 | Alexandria | GGA+U | relaxed
data_V2GeO4
_chemical_formula_sum 'V4 Ge2 O8'
_symmetry_space_group_name_H-M 'P 1'
_symmetry_Int_Tables_number 1
_symmetry_space_group_name_Hall 'P 1'
_cell_length_a 6.084
_cell_length_b 6.084
_cell_length_c 6.086
_cell_angle_alpha 60.01
_cell_angle_beta 60.01
_cell_angle_gamma 89.99
loop_
_atom_site_label
_atom_site_type_symbol
_atom_site_fract_x
_atom_site_fract_y
_atom_site_fract_z
V1 V 0.500 0.500 0.500
V2 V 0.500 0.000 0.500
V3 V 0.000 0.000 0.000
V4 V 0.500 0.000 0.000
Ge1 Ge 0.875 0.625 0.750
Ge2 Ge 0.125 0.375 0.250
O1 O 0.246 0.739 0.007
O2 O 0.754 0.261 0.993
O3 O 0.239 0.746 0.507
O4 O 0.246 0.254 0.493
O5 O 0.246 0.254 0.007
O6 O 0.754 0.746 0.507
O7 O 0.761 0.254 0.493
O8 O 0.754 0.746 0.993
# Total magnetization (μB/atom): 0.856
# Calculated total energy (eV/atom): -7.32